[1]
A plane-wave DFT calculation with PBE was carried out for Mo6RhN after structural relaxation.

Structure (POSCAR):
```
Mo6RhN
1.0
4.711 0.636 -1.047
2.876 5.590 -1.108
1.677 1.570 4.299
Mo N Rh
6 1 1
Cartesian
5.829 5.779 2.558 Mo
7.628 6.860 1.037 Mo
1.637 0.936 1.108 Mo
6.645 4.796 -0.610 Mo
3.436 2.016 -0.414 Mo
2.620 3.000 2.755 Mo
0.000 0.000 0.000 N
4.632 3.898 1.072 Rh
```

## Properties
* uncorrected formation energy: 0.09 eV per atom

[2]
A plane-wave DFT calculation with PBE was carried out for MoRhN3 after structural relaxation.

Structure (POSCAR):
```
MoRhN3
1.0
3.920 0.000 0.000
0.000 3.920 0.000
0.000 0.000 3.920
N Rh Mo
3 1 1
Cartesian
1.960 0.000 0.000 N
0.000 1.960 0.000 N
0.000 0.000 1.960 N
1.960 1.960 1.960 Rh
0.000 0.000 0.000 Mo
```

## Properties
* uncorrected formation energy: 1.11 eV per atom

[3]
A plane-wave DFT calculation with PBE was carried out for Mo3Rh2N after structural relaxation.

Structure (POSCAR):
```
Mo3Rh2N
1.0
6.842 0.000 0.000
0.000 6.842 0.000
0.000 0.000 6.842
N Mo Rh
4 12 8
Cartesian
5.987 0.855 4.276 N
4.276 5.987 0.855 N
2.566 2.566 2.566 N
0.855 4.276 5.987 N
3.089 0.855 1.379 Mo
4.276 2.042 3.753 Mo
3.753 4.276 2.042 Mo
5.987 4.800 0.332 Mo
0.332 5.987 4.800 Mo
4.800 0.332 5.987 Mo
2.042 3.753 4.276 Mo
5.463 6.510 2.566 Mo
1.379 3.089 0.855 Mo
6.510 2.566 5.463 Mo
2.566 5.463 6.510 Mo
0.855 1.379 3.089 Mo
5.540 2.119 1.301 Rh
4.722 4.722 4.722 Rh
3.012 6.433 3.830 Rh
6.433 3.830 3.012 Rh
1.301 5.540 2.119 Rh
2.119 1.301 5.540 Rh
3.830 3.012 6.433 Rh
0.409 0.409 0.409 Rh
```

## Properties
* uncorrected formation energy: -0.26 eV per atom

[4]
A plane-wave DFT calculation with PBE was carried out for MoRhN2 after structural relaxation.

Structure (POSCAR):
```
MoRhN2
1.0
-1.928 -3.804 5.047
-0.178 -5.581 3.533
0.962 -3.665 5.413
N Rh Mo
2 1 1
Cartesian
-0.118 -1.343 1.440 N
-1.026 -11.707 12.553 N
0.000 0.000 0.000 Rh
-0.572 -6.525 6.996 Mo
```

## Properties
* relative energy among the computed polymorphs: 0.178 eV per formula unit
* uncorrected formation energy: 0.10 eV per atom

- Among the records above, which one has the lowest uncorrected formation energy?
  Mo3Rh2N

- What is the formula in the first record?
  Mo6RhN

What did the first record say?
A plane-wave DFT calculation with PBE was carried out for Mo6RhN after structural relaxation.

Structure (POSCAR):
```
Mo6RhN
1.0
4.711 0.636 -1.047
2.876 5.590 -1.108
1.677 1.570 4.299
Mo N Rh
6 1 1
Cartesian
5.829 5.779 2.558 Mo
7.628 6.860 1.037 Mo
1.637 0.936 1.108 Mo
6.645 4.796 -0.610 Mo
3.436 2.016 -0.414 Mo
2.620 3.000 2.755 Mo
0.000 0.000 0.000 N
4.632 3.898 1.072 Rh
```

## Properties
* uncorrected formation energy: 0.09 eV per atom